(1)
Density functional theory data (PBE-GGA) for a relaxed structure of Mn2RuPt.

ΔH_f (0 K)   0.4171 eV/atom

Lattice parameters (Å, degrees): 5.478 5.478 5.478 104.13 104.13 120.78
Fractional coordinates of all 8 atoms:
Mn (0.112, 0.625, 0.987)
Mn (0.375, 0.362, 0.487)
Mn (0.638, 0.125, 0.013)
Mn (0.875, 0.888, 0.513)
Ru (0.000, 0.000, 0.000)
Ru (0.750, 0.250, 0.500)
Pt (0.250, 0.750, 0.500)
Pt (0.500, 0.500, 0.000)

***

(2)
Density functional theory data (PBE-GGA) for a relaxed structure of TiSiRuS2.

Formation energy (no corrections)   608 meV per atom

Lattice parameters (Å, degrees): 4.556 4.556 4.883 90.00 90.00 90.00
Fractional coordinates of all 5 atoms:
Ti (0.000, 0.000, 0.000)
Si (0.000, 0.000, 0.500)
Ru (0.500, 0.500, 0.500)
S (0.000, 0.500, 0.000)
S (0.500, 0.000, 0.000)

***

| no. | E (eV/atom) |
| --- | --- |
| 1 | -7.997 |
| 2 | -5.561 |